Entry 1:
A geometry-optimized La2OsPt structure, computed with GGA-PBE.

Computed properties:
total DFT energy (no corrections) = -28.16 eV/f.u.
theoretical density = 11.99 g cm⁻³

a = 4.2462 Å, b = 4.2462 Å, c = 10.1830 Å
α = 90.00°, β = 90.00°, γ = 90.00°
Closest atoms and distances in Å follow each position.
Space group I-4m2 (No. 119)
Symmetry-distinct sites (fractional):
La (0.0000, 0.0000, 0.0000)  4 Pt 3.00, 4 La 3.31, 4 Os 3.31
La (0.0000, 0.5000, 0.2500)  4 Os 3.00, 4 La 3.31, 4 Pt 3.31
Os (0.0000, 0.5000, 0.7500)  8 La 3.00-3.31, 4 Pt 3.31
Pt (0.0000, 0.0000, 0.5000)  8 La 3.00-3.31, 4 Os 3.31

Entry 2:
A geometry-optimized Li2CuSeO4 structure, computed with GGA-PBE.

Computed properties:
total DFT energy (no corrections) = -39.29 eV/f.u.
theoretical density = 4.48 g cm⁻³
formation energy from raw total energies = -1006.5 meV/atom

a = 8.3555 Å, b = 8.2787 Å, c = 6.2670 Å
α = 90.00°, β = 131.05°, γ = 90.00°
Closest atoms and distances in Å follow each position.
Space group C2/c (No. 15)
Symmetry-distinct sites (fractional):
Li (0.0000, 0.0000, 0.0000)  4 O 2.09-2.15
Li (0.2500, 0.2500, 0.0000)  6 O 2.14-2.22
Cu (0.2500, 0.2500, 0.5000)  4 O 1.98-2.01
Se (0.0000, 0.5000, 0.0000)  6 O 2.01-2.17
O (0.0342, 0.2584, 0.5410)  1 Cu 1.98, 1 Se 2.01, 3 Li 2.15-2.22
O (0.2314, 0.4920, 0.4597)  1 Cu 2.01, 2 Li 2.09-2.14, 2 Se 2.11-2.17

The lowest theoretical density belongs to which entry? Li2CuSeO4